1.
The following is a DFT calculation (GGA-PBE) of crystalline K2Tl3Pt2 at its relaxed geometry.

Values from the calculation:
As for the space-group type: No. 12. Its density of states at the Fermi level is 1.88 states/eV/cell. Its calculated formation energy is -1.30 eV/f.u. As for the crystal system: monoclinic. The spin magnetization is 0.0000 μB per atom.

a b c (Å): 6.396 6.396 8.257
angles (deg): 116.28 116.28 41.05
Element x y z (fractional)
K1 0.150 0.150 0.287
K2 0.850 0.850 0.713
Tl1 0.364 0.364 0.050
Tl2 0.500 0.500 0.500
Tl3 0.636 0.636 0.950
Pt1 0.125 0.125 0.715
Pt2 0.875 0.875 0.285

2.
The following is a DFT calculation (GGA-PBE) of crystalline Tc5W at its relaxed geometry.

Values from the calculation:
As for the space-group type: No. 216. Its density of states at the Fermi level is 4.59 states/eV/cell. Its calculated formation energy is 1.34 eV/f.u. As for the crystal system: cubic. The spin magnetization is 0.0000 μB per atom.

a b c (Å): 5.065 5.065 5.065
angles (deg): 60.00 60.00 60.00
Element x y z (fractional)
Tc1 0.000 0.000 0.000
Tc2 0.125 0.625 0.625
Tc3 0.625 0.125 0.625
Tc4 0.625 0.625 0.125
Tc5 0.625 0.625 0.625
W1 0.250 0.250 0.250

3.
The following is a DFT calculation (GGA-PBE) of crystalline ZrAl2Pd8 at its relaxed geometry.

Values from the calculation:
As for the space-group type: No. 12. Its density of states at the Fermi level is 4.93 states/eV/cell. Its calculated formation energy is -7.56 eV/f.u. As for the crystal system: monoclinic. The spin magnetization is 0.0000 μB per atom.

a b c (Å): 7.254 7.254 6.450
angles (deg): 110.44 110.44 32.86
Element x y z (fractional)
Zr1 0.000 0.000 0.000
Al1 0.284 0.284 0.342
Al2 0.716 0.716 0.658
Pd1 0.110 0.110 0.469
Pd2 0.180 0.180 0.931
Pd3 0.346 0.346 0.783
Pd4 0.460 0.460 0.273
Pd5 0.540 0.540 0.727
Pd6 0.654 0.654 0.217
Pd7 0.820 0.820 0.069
Pd8 0.890 0.890 0.531

4.
The following is a DFT calculation (GGA-PBE) of crystalline InFeCu2 at its relaxed geometry.

Values from the calculation:
As for the space-group type: No. 71. Its density of states at the Fermi level is 3.29 states/eV/cell. Its calculated formation energy is 0.95 eV/f.u. As for the crystal system: orthorhombic. The spin magnetization is 0.5940 μB per atom.

a b c (Å): 5.213 5.213 5.213
angles (deg): 147.79 129.00 61.61
Element x y z (fractional)
In1 0.000 0.000 0.000
Fe1 0.500 0.500 0.000
Cu1 0.265 0.765 0.500
Cu2 0.735 0.235 0.500

5.
The following is a DFT calculation (GGA-PBE) of crystalline NbAlAg2Pd at its relaxed geometry.

Values from the calculation:
As for the space-group type: No. 123. Its density of states at the Fermi level is 6.80 states/eV/cell. Its calculated formation energy is 4.28 eV/f.u. As for the crystal system: tetragonal. The spin magnetization is 0.5985 μB per atom.

a b c (Å): 5.006 5.006 4.493
angles (deg): 90.00 90.00 90.00
Element x y z (fractional)
Nb1 0.000 0.000 0.000
Al1 0.500 0.500 0.000
Ag1 0.000 0.500 0.500
Ag2 0.500 0.000 0.500
Pd1 0.500 0.500 0.500

6.
The following is a DFT calculation (GGA-PBE) of crystalline Nd2ErV at its relaxed geometry.

Values from the calculation:
As for the space-group type: No. 166. Its density of states at the Fermi level is 6.44 states/eV/cell. Its calculated formation energy is 2.52 eV/f.u. As for the crystal system: trigonal. The spin magnetization is 0.7948 μB per atom.

a b c (Å): 11.790 11.790 11.790
angles (deg): 16.75 16.75 16.75
Element x y z (fractional)
Nd1 0.082 0.082 0.082
Nd2 0.918 0.918 0.918
Er1 0.500 0.500 0.500
V1 0.000 0.000 0.000

7.
The following is a DFT calculation (GGA-PBE) of crystalline CsSrF3 at its relaxed geometry.

Values from the calculation:
As for the space-group type: No. 160. Its density of states at the Fermi level is 0.00 states/eV/cell. The value obtained for the uncorrected formation energy is -1464 kJ/mol of formula units. As for the crystal system: trigonal. The spin magnetization is 0.0000 μB per atom.

a b c (Å): 5.499 5.499 5.499
angles (deg): 92.72 92.72 92.72
Element x y z (fractional)
Cs1 0.000 0.000 0.000
Sr1 0.590 0.590 0.590
F1 0.462 0.864 0.864
F2 0.864 0.462 0.864
F3 0.864 0.864 0.462

8.
The following is a DFT calculation (GGA-PBE) of crystalline HgPd4N2 at its relaxed geometry.

Values from the calculation:
As for the space-group type: No. 139. Its density of states at the Fermi level is 2.72 states/eV/cell. The value obtained for the uncorrected formation energy is 572 kJ/mol of formula units. As for the crystal system: tetragonal. The spin magnetization is 0.0000 μB per atom.

a b c (Å): 6.379 6.379 6.379
angles (deg): 131.01 131.01 71.79
Element x y z (fractional)
Hg1 0.000 0.000 0.000
Pd1 0.000 0.500 0.500
Pd2 0.257 0.257 0.000
Pd3 0.500 0.000 0.500
Pd4 0.743 0.743 0.000
N1 0.444 0.444 0.000
N2 0.556 0.556 0.000

9.
The following is a DFT calculation (GGA-PBE) of crystalline Tm5Sb2Ru at its relaxed geometry.

Values from the calculation:
As for the space-group type: No. 63. Its density of states at the Fermi level is 9.66 states/eV/cell. The value obtained for the uncorrected formation energy is -240 kJ/mol of formula units. As for the crystal system: orthorhombic. The spin magnetization is 0.0000 μB per atom.

a b c (Å): 7.803 7.803 14.576
angles (deg): 90.00 90.00 138.81
Element x y z (fractional)
Tm1 0.049 0.951 0.628
Tm2 0.049 0.951 0.872
Tm3 0.289 0.711 0.607
Tm4 0.289 0.711 0.893
Tm5 0.293 0.707 0.250
Tm6 0.707 0.293 0.750
Tm7 0.711 0.289 0.107
Tm8 0.711 0.289 0.393
Tm9 0.951 0.049 0.128
Tm10 0.951 0.049 0.372
Sb1 0.147 0.853 0.056
Sb2 0.147 0.853 0.444
Sb3 0.853 0.147 0.556
Sb4 0.853 0.147 0.944
Ru1 0.179 0.821 0.750
Ru2 0.821 0.179 0.250

10.
The following is a DFT calculation (GGA-PBE) of crystalline YTi2AuO at its relaxed geometry.

Values from the calculation:
As for the space-group type: No. 123. Its density of states at the Fermi level is 4.31 states/eV/cell. The value obtained for the uncorrected formation energy is -615 kJ/mol of formula units. As for the crystal system: tetragonal. The spin magnetization is 0.2148 μB per atom.

a b c (Å): 4.188 4.188 4.707
angles (deg): 90.00 90.00 90.00
Element x y z (fractional)
Y1 0.000 0.000 0.000
Ti1 0.000 0.500 0.500
Ti2 0.500 0.000 0.500
Au1 0.500 0.500 0.000
O1 0.000 0.000 0.500

11.
The following is a DFT calculation (GGA-PBE) of crystalline TbCeP2O8 at its relaxed geometry.

Values from the calculation:
As for the space-group type: No. 164. Its density of states at the Fermi level is 6.99 states/eV/cell. The value obtained for the uncorrected formation energy is -3333 kJ/mol of formula units. As for the crystal system: trigonal. The spin magnetization is 0.0833 μB per atom.

a b c (Å): 5.294 5.294 7.208
angles (deg): 90.00 90.00 120.00
Element x y z (fractional)
Tb1 0.000 0.000 0.000
Ce1 0.000 0.000 0.500
P1 0.333 0.667 0.295
P2 0.667 0.333 0.705
O1 0.174 0.348 0.221
O2 0.174 0.826 0.221
O3 0.333 0.667 0.507
O4 0.348 0.174 0.779
O5 0.652 0.826 0.221
O6 0.667 0.333 0.493
O7 0.826 0.174 0.779
O8 0.826 0.652 0.779

12.
The following is a DFT calculation (GGA-PBE) of crystalline PuZnGePt at its relaxed geometry.

Values from the calculation:
As for the space-group type: No. 216. Its density of states at the Fermi level is 13.23 states/eV/cell. Its calculated formation energy is -1.44 eV/f.u. As for the crystal system: cubic. The spin magnetization is 1.3763 μB per atom.

a b c (Å): 4.701 4.701 4.701
angles (deg): 60.00 60.00 60.00
Element x y z (fractional)
Pu1 0.000 0.000 0.000
Zn1 0.750 0.750 0.750
Ge1 0.250 0.250 0.250
Pt1 0.500 0.500 0.500

13.
The following is a DFT calculation (GGA-PBE) of crystalline TmScTlIr at its relaxed geometry.

Values from the calculation:
As for the space-group type: No. 99. Its density of states at the Fermi level is 2.36 states/eV/cell. Its calculated formation energy is -2.57 eV/f.u. As for the crystal system: tetragonal. The spin magnetization is 0.0001 μB per atom.

a b c (Å): 3.265 3.265 8.138
angles (deg): 90.00 90.00 90.00
Element x y z (fractional)
Tm1 0.000 0.000 0.000
Sc1 0.000 0.000 0.588
Tl1 0.500 0.500 0.304
Ir1 0.500 0.500 0.780

14.
The following is a DFT calculation (GGA-PBE) of crystalline HfSc3Ir4 at its relaxed geometry.

Values from the calculation:
As for the space-group type: No. 139. Its density of states at the Fermi level is 3.32 states/eV/cell. Its calculated formation energy is -8.13 eV/f.u. As for the crystal system: tetragonal. The spin magnetization is 0.0000 μB per atom.

a b c (Å): 7.129 7.129 7.129
angles (deg): 141.93 141.93 54.93
Element x y z (fractional)
Hf1 0.000 0.000 0.000
Sc1 0.252 0.252 0.000
Sc2 0.500 0.500 0.000
Sc3 0.748 0.748 0.000
Ir1 0.124 0.624 0.500
Ir2 0.376 0.876 0.500
Ir3 0.624 0.124 0.500
Ir4 0.876 0.376 0.500

15.
The following is a DFT calculation (GGA-PBE) of crystalline ZrBe3Ge at its relaxed geometry.

Values from the calculation:
As for the space-group type: No. 221. Its density of states at the Fermi level is 6.34 states/eV/cell. Its calculated formation energy is 8.69 eV/f.u. As for the crystal system: cubic. The spin magnetization is 0.0000 μB per atom.

a b c (Å): 4.705 4.705 4.705
angles (deg): 90.00 90.00 90.00
Element x y z (fractional)
Zr1 0.000 0.000 0.000
Be1 0.000 0.000 0.500
Be2 0.000 0.500 0.000
Be3 0.500 0.000 0.000
Ge1 0.500 0.500 0.500

16.
The following is a DFT calculation (GGA-PBE) of crystalline KPmSBr at its relaxed geometry.

Values from the calculation:
As for the space-group type: No. 160. Its density of states at the Fermi level is 2.45 states/eV/cell. The value obtained for the uncorrected formation energy is -609 kJ/mol of formula units. As for the crystal system: trigonal. The spin magnetization is 0.0000 μB per atom.

a b c (Å): 8.327 8.327 8.327
angles (deg): 28.54 28.54 28.54
Element x y z (fractional)
K1 0.000 0.000 0.000
Pm1 0.811 0.811 0.811
S1 0.415 0.415 0.415
Br1 0.228 0.228 0.228

17.
The following is a DFT calculation (GGA-PBE) of crystalline Ac3BiSb2 at its relaxed geometry.

Values from the calculation:
As for the space-group type: No. 14. Its density of states at the Fermi level is 2.45 states/eV/cell. The value obtained for the uncorrected formation energy is -663 kJ/mol of formula units. As for the crystal system: monoclinic. The spin magnetization is 0.0000 μB per atom.

a b c (Å): 6.823 14.489 9.649
angles (deg): 90.00 90.04 90.00
Element x y z (fractional)
Ac1 0.250 0.085 0.122
Ac2 0.250 0.085 0.629
Ac3 0.250 0.415 0.129
Ac4 0.250 0.415 0.622
Ac5 0.250 0.750 0.125
Ac6 0.250 0.750 0.625
Ac7 0.750 0.250 0.375
Ac8 0.750 0.250 0.875
Ac9 0.750 0.585 0.378
Ac10 0.750 0.585 0.871
Ac11 0.750 0.915 0.371
Ac12 0.750 0.915 0.878
Bi1 0.250 0.582 0.875
Bi2 0.250 0.918 0.375
Bi3 0.750 0.082 0.625
Bi4 0.750 0.418 0.125
Sb1 0.250 0.249 0.375
Sb2 0.250 0.251 0.875
Sb3 0.250 0.584 0.376
Sb4 0.250 0.916 0.876
Sb5 0.750 0.084 0.124
Sb6 0.750 0.416 0.624
Sb7 0.750 0.749 0.125
Sb8 0.750 0.751 0.625

18.
The following is a DFT calculation (GGA-PBE) of crystalline Cu3AsO4 at its relaxed geometry.

Values from the calculation:
As for the space-group type: No. 215. Its density of states at the Fermi level is 4.90 states/eV/cell. The value obtained for the uncorrected formation energy is -471 kJ/mol of formula units. As for the crystal system: cubic. The spin magnetization is 0.0000 μB per atom.

a b c (Å): 4.633 4.633 4.633
angles (deg): 90.00 90.00 90.00
Element x y z (fractional)
Cu1 0.000 0.000 0.500
Cu2 0.000 0.500 0.000
Cu3 0.500 0.000 0.000
As1 0.500 0.500 0.500
O1 0.279 0.279 0.721
O2 0.279 0.721 0.279
O3 0.721 0.279 0.279
O4 0.721 0.721 0.721

19.
The following is a DFT calculation (GGA-PBE) of crystalline Ga2Bi3Pb2 at its relaxed geometry.

Values from the calculation:
As for the space-group type: No. 2. Its density of states at the Fermi level is 2.66 states/eV/cell. Its calculated formation energy is 0.63 eV/f.u. As for the crystal system: triclinic. The spin magnetization is 0.0000 μB per atom.

a b c (Å): 4.463 6.394 8.042
angles (deg): 71.00 81.27 72.99
Element x y z (fractional)
Ga1 0.239 0.435 0.100
Ga2 0.761 0.565 0.900
Bi1 0.000 0.500 0.500
Bi2 0.443 0.810 0.195
Bi3 0.557 0.190 0.805
Pb1 0.208 0.869 0.678
Pb2 0.792 0.131 0.322

20.
The following is a DFT calculation (GGA-PBE) of crystalline TbPmZnCd at its relaxed geometry.

Values from the calculation:
As for the space-group type: No. 99. Its density of states at the Fermi level is 4.27 states/eV/cell. Its calculated formation energy is -1.31 eV/f.u. As for the crystal system: tetragonal. The spin magnetization is 0.0000 μB per atom.

a b c (Å): 3.655 3.655 7.615
angles (deg): 90.00 90.00 90.00
Element x y z (fractional)
Tb1 0.000 0.000 0.000
Pm1 0.000 0.000 0.540
Zn1 0.500 0.500 0.781
Cd1 0.500 0.500 0.260

21.
The following is a DFT calculation (GGA-PBE) of crystalline SmTlAg at its relaxed geometry.

Values from the calculation:
As for the space-group type: No. 12. Its density of states at the Fermi level is 3.65 states/eV/cell. Its calculated formation energy is -0.49 eV/f.u. As for the crystal system: monoclinic. The spin magnetization is 0.0000 μB per atom.

a b c (Å): 5.407 5.407 8.706
angles (deg): 99.92 99.92 39.90
Element x y z (fractional)
Sm1 0.108 0.108 0.214
Sm2 0.892 0.892 0.786
Tl1 0.145 0.145 0.608
Tl2 0.855 0.855 0.392
Ag1 0.366 0.366 0.071
Ag2 0.634 0.634 0.929